[1]
Density functional theory data (meta-GGA SCAN) for a crystal of Rb2BiC relaxed with PBEsol.

Summary:
The symmetry is I-42d, No. 122. As for the energy relative to the elements: 0.82 eV per atom. As for the size of the total moment: 0.0 μB/cell.

Cell lengths 4.654, 9.083, 9.083 Å; angles 86.24, 75.15, 75.15 degrees
Sites, in units of the cell vectors:
1 C 0.250 0.500 0.500
2 C 0.500 0.000 0.000
3 Bi 0.750 0.500 0.500
4 Bi 0.000 0.000 0.000
5 Rb 0.328 0.797 0.297
6 Rb 0.422 0.203 0.703
7 Rb 0.375 0.297 0.203
8 Rb 0.875 0.703 0.797



[2]
Density functional theory data (meta-GGA SCAN) for a crystal of AsIrCl2 relaxed with PBEsol.

Summary:
The symmetry is P3m1, No. 156. As for the formation energy from raw total energies: -599 meV per atom. As for the size of the total moment: 0.0 μB/cell.

Cell lengths 3.658, 3.658, 7.721 Å; angles 90.00, 90.00, 120.00 degrees
Sites, in units of the cell vectors:
1 As 0.000 0.000 0.670
2 Ir 0.333 0.667 0.533
3 Cl 0.000 0.000 0.950
4 Cl 0.667 0.333 0.347